Compound: Al2AgIr
Source: Alexandria via LeMat-Bulk
Functional: PBE
Structure: relaxed

* total magnetization: 0.00 μB/cell
* E_tot: -77.84 eV for the cell shown

```
data_Al2AgIr
_chemical_formula_sum 'Al8 Ag4 Ir4'
_space_group_name_H-M_alt 'F -4 3 m'
_space_group_IT_number 216
_space_group_name_Hall 'F -4 2 3'
_cell_length_a 6.288
_cell_length_b 6.288
_cell_length_c 6.288
_cell_angle_alpha 90.00
_cell_angle_beta 90.00
_cell_angle_gamma 90.00
loop_
_atom_site_label
_atom_site_type_symbol
_atom_site_fract_x
_atom_site_fract_y
_atom_site_fract_z
Al1 Al 0.000 0.000 0.000
Al2 Al 0.250 0.250 0.250
Ag1 Ag 0.000 0.000 0.500
Ir1 Ir 0.250 0.250 0.750
```